Here is crystalline TaBPd2W at its relaxed geometry from the Alexandria database. Energies are from PBE-GGA.

## Properties
Theoretical density (g cm⁻³): 10.5
Fermi-level density of states (states/eV per atom): 1.022
Space group: P4/mmm, No. 123
Electronic total energy (eV/atom): -6.585
DFT formation energy (meV/atom): 1789

Cell lengths 4.727, 4.153, 4.727 Å; angles 90.00, 90.00, 90.00 degrees
Fractional coordinates of all 5 atoms:
Pd  0.000  0.000  0.500
Pd  0.500  0.000  0.000
B  0.000  0.500  0.000
Ta  0.000  0.000  0.000
W  0.500  0.500  0.500